First-principles (PBE) data for a relaxed LiSi2Pt crystal, as listed in the Alexandria database. Values from VASP.

ΔE to the lowest computed polymorph   179 meV/atom
E_tot   -5.009 eV per atom

```
&SYSTEM
  ibrav = 0, nat = 4, ntyp = 3
/
ATOMIC_SPECIES
Si 28.09 Si.upf
Pt 195.08 Pt.upf
Li 6.94 Li.upf
ATOMIC_POSITIONS angstrom
Si 1.520 1.520 1.520
Si 4.560 4.560 4.560
Pt 3.040 3.040 3.040
Li 0.000 0.000 0.000
CELL_PARAMETERS angstrom
0.000 3.040 3.040
3.040 0.000 3.040
3.040 3.040 0.000
```